Below is crystalline Sm4Mg5Hg2 at its relaxed geometry, with properties calculated at the PBE level.

## Properties
- SG = No. 10
- final energy (eV/atom) = -2.66
- total magnetization (μB/cell) = 0.00

Unit cell a=8.0904 b=3.5147 c=10.6310 alpha=90.00 beta=93.67 gamma=90.00
Positions (direct):
1 Sm 0.1577 0.0000 0.3821
2 Sm 0.2663 0.0000 0.9485
3 Sm 0.7337 0.0000 0.0515
4 Sm 0.8423 0.0000 0.6179
5 Mg 0.2011 0.5000 0.6667
6 Mg 0.4368 0.5000 0.2075
7 Mg 0.5000 0.5000 0.5000
8 Mg 0.5632 0.5000 0.7925
9 Mg 0.7989 0.5000 0.3333
10 Hg 0.0602 0.5000 0.1418
11 Hg 0.9398 0.5000 0.8582

Below is crystalline SmMg10Hg2 at its relaxed geometry, with properties calculated at the PBE level.

## Properties
- SG = No. 69
- final energy (eV/atom) = -1.75
- total magnetization (μB/cell) = 0.00

Unit cell a=10.0297 b=7.7260 c=7.6891 alpha=81.18 beta=49.57 gamma=49.25
Positions (direct):
1 Sm 0.0000 0.0000 0.0000
2 Mg 0.0000 0.5000 0.0000
3 Mg 0.0055 0.6512 0.3488
4 Mg 0.2864 0.5036 0.4964
5 Mg 0.3488 0.9945 0.0055
6 Mg 0.4964 0.7136 0.2864
7 Mg 0.5000 0.0000 0.5000
8 Mg 0.5036 0.2864 0.7136
9 Mg 0.6512 0.0055 0.9945
10 Mg 0.7136 0.4964 0.5036
11 Mg 0.9945 0.3488 0.6512
12 Hg 0.0000 0.0000 0.5000
13 Hg 0.5000 0.5000 0.0000

Below is crystalline Sm3Mg7Hg2 at its relaxed geometry, with properties calculated at the PBE level.

## Properties
- SG = No. 166
- final energy (eV/atom) = -2.33
- total magnetization (μB/cell) = 0.00

Unit cell a=10.2398 b=10.2398 c=10.2398 alpha=34.35 beta=34.35 gamma=34.35
Positions (direct):
1 Sm 0.0000 0.0000 0.0000
2 Sm 0.1441 0.1441 0.1441
3 Sm 0.8559 0.8559 0.8559
4 Mg 0.0773 0.5827 0.5827
5 Mg 0.4173 0.4173 0.9227
6 Mg 0.4173 0.9227 0.4173
7 Mg 0.5000 0.5000 0.5000
8 Mg 0.5827 0.0773 0.5827
9 Mg 0.5827 0.5827 0.0773
10 Mg 0.9227 0.4173 0.4173
11 Hg 0.3342 0.3342 0.3342
12 Hg 0.6658 0.6658 0.6658